Computed, not measured: crystalline Mn2TlSe at its relaxed geometry at the PBE level of DFT.

The space group is I4/mmm (No. 139) and the conventional cell measures 4.481, 4.481 and 7.665 Å, with angles of 90.00, 90.00 and 90.00 degrees. The distinct sites, in fractional coordinates, are Mn at (0.000, 0.500, 0.250), Tl at (0.000, 0.000, 0.000) and Se at (0.000, 0.000, 0.500).

The excess energy over the best structure of this formula in the dataset comes out at 0.244 eV per atom. The calculation puts the formation energy without anion corrections at 0.361 eV/atom. For the total energy, the calculation gives -45.5 eV per cell.

Computed, not measured: crystalline PaB2P at its relaxed geometry at the PBE level of DFT.

The space group is P2_1/m (No. 11) and the conventional cell measures 3.264, 4.871 and 6.787 Å, with angles of 90.00, 103.62 and 90.00 degrees. The distinct sites, in fractional coordinates, are Pa at (0.099, 0.250, 0.190), B at (0.272, 0.056, 0.546) and P at (0.405, 0.250, 0.815).

As for the formation energy: -0.47 eV per atom. For the total energy, the calculation gives -60.3 eV per cell.

Computed, not measured: crystalline ScHg at its relaxed geometry at the PBE level of DFT.

The space group is Fm-3m (No. 225) and the conventional cell measures 5.826, 5.826 and 5.826 Å, with angles of 90.00, 90.00 and 90.00 degrees. The distinct sites, in fractional coordinates, are Sc at (0.000, 0.000, 0.000) and Hg at (0.000, 0.000, 0.500).

As for the formation energy: -0.13 eV per atom. For the total energy, the calculation gives -27.6 eV per cell.

Computed, not measured: crystalline KInW2 at its relaxed geometry at the PBE level of DFT.

The space group is P4/mmm (No. 123) and the conventional cell measures 2.792, 2.792 and 10.729 Å, with angles of 90.00, 90.00 and 90.00 degrees. The distinct sites, in fractional coordinates, are K at (0.000, 0.000, 0.000), In at (0.000, 0.000, 0.500) and W at (0.500, 0.500, 0.287).

As for the formation energy: 1.19 eV per atom. For the total energy, the calculation gives -25.0 eV per cell.

Computed, not measured: crystalline MgMnBe3 at its relaxed geometry at the PBE level of DFT.

The space group is Pm-3m (No. 221) and the conventional cell measures 4.073, 4.073 and 4.073 Å, with angles of 90.00, 90.00 and 90.00 degrees. The distinct sites, in fractional coordinates, are Mg at (0.000, 0.000, 0.000), Mn at (0.500, 0.500, 0.500) and Be at (0.000, 0.500, 0.500).

The excess energy over the best structure of this formula in the dataset comes out at 0.000 eV per atom. As for the formation energy: 0.73 eV per atom. For the total energy, the calculation gives -18.3 eV per cell.

Computed, not measured: crystalline La2PmSm2Er at its relaxed geometry at the PBE level of DFT.

The space group is Pmc2_1 (No. 26) and the conventional cell measures 5.769, 10.025 and 7.118 Å, with angles of 90.00, 90.00 and 90.00 degrees. The distinct sites, in fractional coordinates, are La at (0.000, 0.000, 0.000), La at (0.500, 0.172, 0.250), Pm at (0.500, 0.500, 0.000), Sm at (0.000, 0.333, 0.250), Sm at (0.500, 0.166, 0.750) and Er at (0.000, 0.338, 0.750).

As for the formation energy: 0.06 eV per atom. For the total energy, the calculation gives -56.5 eV per cell.

Computed, not measured: crystalline Rb4Tb3SnTe8 at its relaxed geometry at the PBE level of DFT.

The space group is R-3m (No. 166, hexagonal axes) and the conventional cell measures 9.1090, 9.1090 and 25.6299 Å, with angles of 90.00, 90.00 and 120.00 degrees. The distinct sites, in fractional coordinates, are Rb at (0.0000, 0.0000, 0.0000), Rb at (0.0000, 0.5000, 0.0000), Tb at (0.0000, 0.5000, 0.5000), Sn at (0.0000, 0.0000, 0.5000), Te at (0.0000, 0.0000, 0.2336) and Te at (0.0002, 0.5001, 0.2324).

The calculation puts the formation energy without anion corrections at -1.171 eV/atom. For the total energy, the calculation gives -196.9 eV per cell.

Computed, not measured: crystalline AcPrBiTe at its relaxed geometry at the PBE level of DFT.

The space group is F-43m (No. 216) and the conventional cell measures 8.099, 8.099 and 8.099 Å, with angles of 90.00, 90.00 and 90.00 degrees. The distinct sites, in fractional coordinates, are Ac at (0.000, 0.000, 0.000), Pr at (0.000, 0.000, 0.500), Bi at (0.250, 0.250, 0.750) and Te at (0.250, 0.250, 0.250).

The calculation puts the formation energy without anion corrections at -1.052 eV/atom. For the total energy, the calculation gives -80.5 eV per cell.